1.
## CaTi2S4 (GGA-PBE)

Data for a geometry-optimized CaTi2S4 structure.

Crystal system   monoclinic
ΔE_f (raw)   -151 kJ/mol of atoms

abc: 7.519 7.519 5.943
angles: 111.64 111.64 27.25
Sites, in units of the cell vectors:
Ca1 0.000 0.000 0.000
Ti1 0.254 0.254 0.269
Ti2 0.746 0.746 0.731
S1 0.140 0.140 0.483
S2 0.354 0.354 0.009
S3 0.646 0.646 0.991
S4 0.860 0.860 0.517

---

2.
## NaCd2Hg8 (GGA-PBE)

Data for a geometry-optimized NaCd2Hg8 structure.

Calculated formation energy   -0.05 eV/atom
Crystal system   monoclinic

abc: 8.645 8.645 7.737
angles: 103.15 103.15 30.14
Sites, in units of the cell vectors:
Na1 0.000 0.000 0.000
Cd1 0.276 0.276 0.368
Cd2 0.724 0.724 0.632
Hg1 0.094 0.094 0.444
Hg2 0.178 0.178 0.895
Hg3 0.357 0.357 0.823
Hg4 0.458 0.458 0.273
Hg5 0.542 0.542 0.727
Hg6 0.643 0.643 0.177
Hg7 0.822 0.822 0.105
Hg8 0.906 0.906 0.556

---

| no. | offset from the most stable computed form (meV/atom) |
| --- | --- |
| 1 | 13 |
| 2 | 0 |